The following is a PBE-GGA calculation of RbInO3 after structural relaxation, from Alexandria.

Properties
Its total energy is -14.89 eV for the cell shown. For the magnetization, the calculation gives 0.03 μB/atom. As for the crystal system: cubic.

The structure in POSCAR format:
```
RbInO3
1.0
-2.424 3.021 1.938
-3.494 -1.451 -2.108
-0.821 -2.743 3.249
O In Rb
3 1 1
direct
0.000 0.000 0.500
0.000 0.500 0.000
0.500 0.000 0.000
0.500 0.500 0.500
0.000 0.000 0.000
```